{"formula": "BaPrCd10", "functional": "GGA-PBE", "state": "optimized geometry", "energy_ev_per_atom": -1.530, "lattice_angstrom": [[-1.373, -4.660, 0.594], [4.875, -1.003, 3.399], [-5.425, 2.690, 8.576]], "species": ["Ba", "Pr", "Cd", "Cd", "Cd", "Cd", "Cd", "Cd", "Cd", "Cd", "Cd", "Cd"], "frac_coords": [[0.000, 0.500, 0.500], [0.000, 0.000, 0.000], [0.000, 0.000, 0.325], [0.000, 0.500, 0.841], [0.000, 0.500, 0.159], [0.000, 0.000, 0.675], [0.500, 0.000, 0.500], [0.500, 0.500, 0.000], [0.500, 0.246, 0.241], [0.500, 0.754, 0.759], [0.500, 0.754, 0.241], [0.500, 0.246, 0.759]]}

=====

{"formula": "BaPr4Cd5", "functional": "GGA-PBE", "state": "optimized geometry", "energy_ev_per_atom": -2.872, "lattice_angstrom": [[-2.613, 2.258, -1.880], [-2.855, -2.546, 0.910], [-3.527, 9.998, 16.910]], "species": ["Ba", "Pr", "Pr", "Pr", "Pr", "Cd", "Cd", "Cd", "Cd", "Cd"], "frac_coords": [[0.000, 0.000, 0.000], [0.000, 0.000, 0.213], [0.000, 0.000, 0.405], [0.000, 0.000, 0.595], [0.000, 0.000, 0.787], [0.500, 0.500, 0.120], [0.500, 0.500, 0.308], [0.500, 0.500, 0.500], [0.500, 0.500, 0.692], [0.500, 0.500, 0.880]]}

=====

{"formula": "BaPrTlCd", "functional": "GGA-PBE", "state": "optimized geometry", "energy_ev_per_atom": -2.776, "lattice_angstrom": [[5.781, 0.000, 0.000], [2.891, 5.007, 0.000], [2.891, 1.669, 4.721]], "species": ["Pr", "Tl", "Ba", "Cd"], "frac_coords": [[0.500, 0.500, 0.500], [0.250, 0.250, 0.250], [0.000, 0.000, 0.000], [0.750, 0.750, 0.750]]}

=====

{"formula": "BaPr2Tl2Cd2", "functional": "GGA-PBE", "state": "optimized geometry", "energy_ev_per_atom": -2.837, "lattice_angstrom": [[-2.280, -3.344, -3.220], [0.801, -5.080, 0.555], [-8.273, -3.369, 5.203]], "species": ["Ba", "Pr", "Pr", "Tl", "Tl", "Cd", "Cd"], "frac_coords": [[0.000, 0.000, 0.000], [0.137, 0.137, 0.588], [0.863, 0.863, 0.412], [0.742, 0.742, 0.775], [0.258, 0.258, 0.225], [0.563, 0.563, 0.311], [0.437, 0.437, 0.689]]}

=====

{"formula": "BaCd5Pt2", "functional": "GGA-PBE", "state": "optimized geometry", "energy_ev_per_atom": -2.716, "lattice_angstrom": [[-1.307, -1.405, 3.906], [-4.513, -5.432, -1.040], [3.512, -6.049, 1.424]], "species": ["Ba", "Cd", "Cd", "Cd", "Cd", "Cd", "Pt", "Pt"], "frac_coords": [[0.000, 0.000, 0.000], [0.000, 0.500, 0.500], [0.658, 0.529, 0.155], [0.342, 0.471, 0.845], [0.342, 0.845, 0.471], [0.658, 0.155, 0.529], [0.743, 0.757, 0.757], [0.257, 0.243, 0.243]]}

=====

{"formula": "BaCd3Pt2", "functional": "GGA-PBE", "state": "optimized geometry", "de_polymorph_mev_per_atom": 0, "lattice_angstrom": [[4.566, 0.000, 0.000], [-2.283, 8.322, -0.115], [0.000, -3.845, 7.949]], "species": ["Ba", "Ba", "Cd", "Cd", "Cd", "Cd", "Cd", "Cd", "Pt", "Pt", "Pt", "Pt"], "frac_coords": [[0.851, 0.702, 0.916], [0.149, 0.298, 0.084], [0.319, 0.638, 0.549], [0.975, 0.949, 0.648], [0.607, 0.213, 0.710], [0.393, 0.787, 0.290], [0.025, 0.051, 0.352], [0.681, 0.362, 0.451], [0.485, 0.970, 0.842], [0.515, 0.030, 0.158], [0.817, 0.633, 0.343], [0.183, 0.367, 0.657]]}

=====

{"formula": "Ba19Cd4Pt6", "functional": "GGA-PBE", "state": "optimized geometry", "energy_ev_per_atom": -3.063, "lattice_angstrom": [[11.306, 0.000, -3.997], [-5.653, 9.792, -3.997], [0.000, 0.000, 11.992]], "species": ["Ba", "Ba", "Ba", "Ba", "Ba", "Ba", "Ba", "Ba", "Ba", "Ba", "Ba", "Ba", "Ba", "Ba", "Ba", "Ba", "Ba", "Ba", "Ba", "Cd", "Cd", "Cd", "Cd", "Pt", "Pt", "Pt", "Pt", "Pt", "Pt"], "frac_coords": [[0.644, 0.000, 0.644], [0.356, 0.000, 0.356], [0.356, 0.356, 0.000], [0.644, 0.644, 0.000], [0.000, 0.644, 0.644], [0.000, 0.356, 0.356], [0.000, 0.000, 0.000], [0.249, 0.231, 0.587], [0.751, 0.338, 0.982], [0.644, 0.662, 0.413], [0.982, 0.751, 0.338], [0.356, 0.769, 0.018], [0.587, 0.249, 0.231], [0.018, 0.356, 0.769], [0.413, 0.644, 0.662], [0.769, 0.018, 0.356], [0.338, 0.982, 0.751], [0.231, 0.587, 0.249], [0.662, 0.413, 0.644], [0.000, 0.000, 0.667], [0.000, 0.667, 0.000], [0.333, 0.333, 0.333], [0.667, 0.000, 0.000], [0.319, 0.500, 0.819], [0.681, 0.500, 0.181], [0.181, 0.681, 0.500], [0.819, 0.319, 0.500], [0.500, 0.819, 0.319], [0.500, 0.181, 0.681]]}

=====

{"formula": "BaCd4Pt4", "functional": "GGA-PBE", "state": "optimized geometry", "energy_ev_per_atom": -3.646, "lattice_angstrom": [[6.735, 0.000, 0.000], [0.000, 6.735, 0.000], [0.000, 0.000, 9.183]], "species": ["Ba", "Ba", "Cd", "Cd", "Cd", "Cd", "Cd", "Cd", "Cd", "Cd", "Pt", "Pt", "Pt", "Pt", "Pt", "Pt", "Pt", "Pt"], "frac_coords": [[0.000, 0.000, 0.000], [0.500, 0.500, 0.500], [0.243, 0.500, 0.882], [0.757, 0.500, 0.882], [0.500, 0.757, 0.118], [0.500, 0.243, 0.118], [0.000, 0.743, 0.382], [0.000, 0.257, 0.382], [0.257, 0.000, 0.618], [0.743, 0.000, 0.618], [0.500, 0.805, 0.820], [0.500, 0.195, 0.820], [0.805, 0.500, 0.180], [0.195, 0.500, 0.180], [0.305, 0.000, 0.320], [0.695, 0.000, 0.320], [0.000, 0.305, 0.680], [0.000, 0.695, 0.680]]}

=====

{"formula": "BaCd2Pt3", "functional": "GGA-PBE", "state": "optimized geometry", "energy_ev_per_atom": -4.051, "lattice_angstrom": [[6.032, 0.000, 0.000], [0.000, 6.592, -1.817], [0.000, 0.237, 6.833]], "species": ["Ba", "Ba", "Cd", "Cd", "Cd", "Cd", "Pt", "Pt", "Pt", "Pt", "Pt", "Pt"], "frac_coords": [[0.750, 0.332, 0.332], [0.250, 0.668, 0.668], [0.000, 0.781, 0.219], [0.500, 0.219, 0.781], [0.000, 0.219, 0.781], [0.500, 0.781, 0.219], [0.750, 0.966, 0.966], [0.250, 0.034, 0.034], [0.750, 0.833, 0.566], [0.250, 0.167, 0.434], [0.750, 0.566, 0.833], [0.250, 0.434, 0.167]]}

=====

{"formula": "BaCd2Pt2", "functional": "GGA-PBE", "state": "optimized geometry", "de_polymorph_mev_per_atom": 0, "lattice_angstrom": [[-2.925, -0.357, 3.383], [-0.138, -4.445, -0.589], [3.089, -3.064, 5.322]], "species": ["Ba", "Pt", "Pt", "Cd", "Cd"], "frac_coords": [[0.000, 0.000, 0.000], [0.392, 0.392, 0.216], [0.608, 0.608, 0.784], [0.750, 0.250, 0.500], [0.250, 0.750, 0.500]]}

=====

{"formula": "Ba5CdPt", "functional": "GGA-PBE", "state": "optimized geometry", "energy_ev_per_atom": -2.708, "lattice_angstrom": [[4.785, 0.000, 0.000], [0.000, 10.551, -0.394], [0.000, 0.143, 13.719]], "species": ["Ba", "Ba", "Ba", "Ba", "Ba", "Ba", "Ba", "Ba", "Ba", "Ba", "Cd", "Cd", "Pt", "Pt"], "frac_coords": [[0.250, 0.025, 0.365], [0.750, 0.135, 0.930], [0.750, 0.354, 0.435], [0.250, 0.373, 0.150], [0.250, 0.309, 0.708], [0.750, 0.691, 0.292], [0.750, 0.627, 0.850], [0.250, 0.646, 0.565], [0.250, 0.865, 0.070], [0.750, 0.975, 0.635], [0.750, 0.091, 0.186], [0.250, 0.909, 0.814], [0.250, 0.518, 0.350], [0.750, 0.482, 0.650]]}

=====

{"formula": "Ba12Cd3Pt5", "functional": "GGA-PBE", "state": "optimized geometry", "energy_ev_per_atom": -3.184, "lattice_angstrom": [[17.028, 0.000, 0.000], [-5.676, 16.054, 0.000], [-5.676, -8.027, 13.904]], "species": ["Cd", "Cd", "Cd", "Cd", "Cd", "Cd", "Cd", "Cd", "Cd", "Cd", "Cd", "Cd", "Pt", "Pt", "Pt", "Pt", "Pt", "Pt", "Pt", "Pt", "Pt", "Pt", "Pt", "Pt", "Pt", "Pt", "Pt", "Pt", "Pt", "Pt", "Pt", "Pt", "Ba", "Ba", "Ba", "Ba", "Ba", "Ba", "Ba", "Ba", "Ba", "Ba", "Ba", "Ba", "Ba", "Ba", "Ba", "Ba", "Ba", "Ba", "Ba", "Ba", "Ba", "Ba", "Ba", "Ba", "Ba", "Ba", "Ba", "Ba", "Ba", "Ba", "Ba", "Ba", "Ba", "Ba", "Ba", "Ba", "Ba", "Ba", "Ba", "Ba", "Ba", "Ba", "Ba", "Ba", "Ba", "Ba", "Ba", "Ba"], "frac_coords": [[0.750, 0.375, 0.125], [0.875, 0.750, 0.125], [0.375, 0.750, 0.625], [0.250, 0.125, 0.375], [0.875, 0.125, 0.250], [0.375, 0.625, 0.250], [0.625, 0.375, 0.750], [0.125, 0.875, 0.750], [0.750, 0.875, 0.625], [0.625, 0.250, 0.375], [0.125, 0.250, 0.875], [0.250, 0.625, 0.875], [0.125, 0.375, 0.250], [0.000, 0.500, 0.000], [0.000, 0.000, 0.000], [0.375, 0.250, 0.125], [0.500, 0.000, 0.500], [0.500, 0.500, 0.000], [0.125, 0.750, 0.375], [0.750, 0.125, 0.875], [0.750, 0.625, 0.375], [0.375, 0.125, 0.750], [0.625, 0.875, 0.250], [0.500, 0.500, 0.500], [0.500, 0.000, 0.000], [0.000, 0.000, 0.500], [0.250, 0.375, 0.625], [0.250, 0.875, 0.125], [0.000, 0.500, 0.500], [0.875, 0.250, 0.625], [0.625, 0.750, 0.875], [0.875, 0.625, 0.750], [0.707, 0.119, 0.029], [0.322, 0.529, 0.410], [0.971, 0.381, 0.293], [0.529, 0.207, 0.119], [0.587, 0.707, 0.678], [0.971, 0.590, 0.178], [0.322, 0.793, 0.413], [0.090, 0.913, 0.119], [0.590, 0.971, 0.678], [0.707, 0.587, 0.178], [0.793, 0.471, 0.381], [0.822, 0.910, 0.029], [0.119, 0.707, 0.529], [0.381, 0.410, 0.087], [0.087, 0.910, 0.381], [0.413, 0.119, 0.590], [0.087, 0.178, 0.207], [0.471, 0.678, 0.090], [0.822, 0.913, 0.293], [0.119, 0.413, 0.090], [0.381, 0.971, 0.793], [0.590, 0.619, 0.413], [0.910, 0.822, 0.529], [0.793, 0.322, 0.913], [0.410, 0.381, 0.587], [0.090, 0.178, 0.471], [0.207, 0.678, 0.087], [0.178, 0.087, 0.707], [0.619, 0.029, 0.207], [0.881, 0.587, 0.910], [0.529, 0.322, 0.910], [0.587, 0.881, 0.410], [0.913, 0.822, 0.793], [0.913, 0.090, 0.619], [0.881, 0.293, 0.471], [0.178, 0.090, 0.971], [0.619, 0.590, 0.913], [0.410, 0.029, 0.322], [0.293, 0.413, 0.822], [0.207, 0.529, 0.619], [0.910, 0.087, 0.881], [0.678, 0.207, 0.587], [0.471, 0.793, 0.881], [0.029, 0.410, 0.822], [0.413, 0.293, 0.322], [0.029, 0.619, 0.707], [0.678, 0.471, 0.590], [0.293, 0.881, 0.971]]}

=====

{"formula": "BaCd3Pt2", "functional": "GGA-PBE", "state": "optimized geometry", "de_polymorph_mev_per_atom": 7, "lattice_angstrom": [[5.836, 0.000, 0.000], [0.000, 6.957, -1.190], [0.000, 0.232, 7.054]], "species": ["Ba", "Ba", "Cd", "Cd", "Cd", "Cd", "Cd", "Cd", "Pt", "Pt", "Pt", "Pt"], "frac_coords": [[0.250, 0.352, 0.352], [0.750, 0.648, 0.648], [0.750, 0.454, 0.077], [0.750, 0.077, 0.454], [0.250, 0.546, 0.923], [0.750, 0.036, 0.036], [0.250, 0.964, 0.964], [0.250, 0.923, 0.546], [0.500, 0.773, 0.227], [0.000, 0.773, 0.227], [0.000, 0.227, 0.773], [0.500, 0.227, 0.773]]}

=====

{"formula": "Ba6CdPt2", "functional": "GGA-PBE", "state": "optimized geometry", "energy_ev_per_atom": -3.181, "lattice_angstrom": [[0.004, 0.560, 8.168], [0.345, -6.786, 4.568], [7.723, -1.708, 4.216]], "species": ["Ba", "Ba", "Ba", "Ba", "Ba", "Ba", "Cd", "Pt", "Pt"], "frac_coords": [[0.526, 0.236, 0.359], [0.236, 0.878, 0.359], [0.878, 0.526, 0.359], [0.362, 0.685, 0.859], [0.685, 0.094, 0.859], [0.094, 0.362, 0.859], [0.792, 0.792, 0.623], [0.290, 0.290, 0.130], [0.470, 0.470, 0.590]]}

=====

{"formula": "Ba6Cd5Pt", "functional": "GGA-PBE", "state": "optimized geometry", "energy_ev_per_atom": -2.206, "lattice_angstrom": [[5.787, -0.379, 0.964], [-0.022, 7.754, 3.180], [1.327, 0.369, 10.157]], "species": ["Ba", "Ba", "Ba", "Ba", "Ba", "Ba", "Pt", "Cd", "Cd", "Cd", "Cd", "Cd"], "frac_coords": [[0.844, 0.608, 0.311], [0.844, 0.081, 0.311], [0.500, 0.770, 0.000], [0.500, 0.230, 0.000], [0.156, 0.919, 0.689], [0.156, 0.392, 0.689], [0.000, 0.000, 0.000], [0.687, 0.186, 0.628], [0.330, 0.331, 0.338], [0.000, 0.500, 0.000], [0.670, 0.669, 0.662], [0.313, 0.814, 0.372]]}

=====

{"formula": "BaCdPt3", "functional": "GGA-PBE", "state": "optimized geometry", "de_polymorph_mev_per_atom": 1220, "lattice_angstrom": [[5.409, 0.000, 0.000], [0.000, 5.409, 0.000], [0.000, 0.000, 5.409]], "species": ["Ba", "Pt", "Pt", "Pt", "Cd"], "frac_coords": [[0.000, 0.000, 0.000], [0.000, 0.500, 0.000], [0.000, 0.000, 0.500], [0.500, 0.000, 0.000], [0.500, 0.500, 0.500]]}

=====

{"formula": "Ba2CdPt2", "functional": "GGA-PBE", "state": "optimized geometry", "energy_ev_per_atom": -3.722, "lattice_angstrom": [[-3.313, 1.415, 1.681], [-1.722, 0.219, -3.577], [-5.921, -8.424, 0.125]], "species": ["Ba", "Ba", "Pt", "Pt", "Cd"], "frac_coords": [[0.374, 0.374, 0.252], [0.626, 0.626, 0.748], [0.750, 0.250, 0.500], [0.250, 0.750, 0.500], [0.000, 0.000, 0.000]]}

=====

{"formula": "Ba3Cd3Pt", "functional": "GGA-PBE", "state": "optimized geometry", "energy_ev_per_atom": -2.514, "lattice_angstrom": [[4.487, 0.000, 0.676], [2.182, 6.274, 0.745], [-0.333, 0.468, 17.442]], "species": ["Ba", "Ba", "Ba", "Ba", "Ba", "Ba", "Cd", "Cd", "Cd", "Cd", "Cd", "Cd", "Pt", "Pt"], "frac_coords": [[0.517, 0.357, 0.608], [0.483, 0.643, 0.392], [0.259, 0.233, 0.249], [0.741, 0.767, 0.751], [0.391, 0.298, 0.920], [0.609, 0.702, 0.080], [0.816, 0.830, 0.537], [0.184, 0.170, 0.463], [0.104, 0.873, 0.919], [0.896, 0.127, 0.081], [0.971, 0.819, 0.238], [0.029, 0.181, 0.762], [0.793, 0.037, 0.376], [0.207, 0.963, 0.624]]}